Here is a relaxed TlP2W crystal from Alexandria via LeMat-Bulk. Energies are from PBE-GGA.

Properties
- space group = Immm
- distance to the lowest polymorph of the same formula (meV/atom) = 515
- magnetization (μB/f.u.) = 0.00

Unit cell a=5.948 b=5.948 c=5.948 alpha=150.94 beta=120.38 gamma=67.67
Fractional positions:
P1 0.560 0.560 0.000
P2 0.940 0.940 0.000
W1 0.750 0.250 0.500
Tl1 0.250 0.750 0.500

---

Here is a relaxed TlP2W crystal from Alexandria via LeMat-Bulk. Energies are from PBE-GGA.

Properties
- space group = Pmmm
- distance to the lowest polymorph of the same formula (meV/atom) = 1035
- magnetization (μB/f.u.) = 0.00

Unit cell a=3.321 b=4.948 c=4.273 alpha=90.00 beta=90.00 gamma=90.00
Fractional positions:
P1 0.000 0.000 0.000
P2 0.500 0.500 0.000
W1 0.000 0.500 0.500
Tl1 0.500 0.000 0.500